Entry 1:
First-principles (PBE) data for a geometry-optimized Na4Ho3PaTe8 structure, as listed in Alexandria.

Values from the calculation:
The calculation puts the formation energy from raw total energies at -1.1775 eV per atom. For the volume, the calculation gives 510.06 Å³/f.u. The density of states at the Fermi level is 0.629 states/eV/atom.

```
Na4Ho3PaTe8
1.0
-3.1067 -7.7544 -2.7504
4.4896 1.0079 -7.9126
4.5279 0.5050 7.5227
Te Ho Na Pa
8 3 4 1
direct
0.2464 0.7345 0.9883 Te
0.7536 0.2655 0.0117 Te
0.7438 0.7314 0.4877 Te
0.2464 0.7345 0.4927 Te
0.7536 0.2655 0.5073 Te
0.2580 0.2655 0.0117 Te
0.2562 0.2686 0.5123 Te
0.7420 0.7345 0.9883 Te
0.5000 0.5000 0.5000 Ho
0.0000 0.5000 0.5000 Ho
0.5000 0.5000 0.0000 Ho
0.0000 0.0000 0.5000 Na
0.5000 0.0000 0.5000 Na
0.5000 0.0000 0.0000 Na
0.0000 0.0000 0.0000 Na
0.0000 0.5000 0.0000 Pa
```

Entry 2:
First-principles (PBE) data for a geometry-optimized HfSc3Ir2 structure, as listed in Alexandria.

Values from the calculation:
For the volume, the calculation gives 119.71 Å³/f.u. The density of states at the Fermi level is 1.167 states/eV/atom. The energy of formation from the pure elements is -0.762 eV/atom.

```
HfSc3Ir2
1.0
-3.4210 1.1267 2.4879
3.1848 -2.1960 5.3737
3.2826 7.4973 1.1184
Sc Hf Ir
6 2 4
direct
0.5000 0.6466 0.1732 Sc
0.5000 0.1466 0.8268 Sc
0.0000 0.3553 0.3238 Sc
0.0000 0.4871 0.9153 Sc
0.0000 0.9871 0.0847 Sc
0.0000 0.8553 0.6762 Sc
0.5000 0.5111 0.5796 Hf
0.5000 0.0111 0.4204 Hf
0.5000 0.7360 0.8435 Ir
0.0000 0.7638 0.3553 Ir
0.0000 0.2638 0.6447 Ir
0.5000 0.2360 0.1565 Ir
```